1.
BeCoMo, PBEsol geometry, DFT meta-GGA SCAN; formation enthalpy at 0 K = -0.24 eV per formula unit; energy above the lowest structure with this stoichiometry = 0.0 meV/atom; crystal system = tetragonal; density of states at the Fermi level = 1.525 states/eV/f.u.
1.0
2.650 0.000 0.000
0.000 2.650 0.000
0.000 0.000 9.244
Be Co Mo
2 2 2
direct
0.000 0.000 0.000
0.500 0.500 0.500
0.000 0.000 0.625
0.500 0.500 0.125
0.000 0.000 0.313
0.500 0.500 0.813


2.
BeCoMo, PBEsol geometry, DFT meta-GGA SCAN; formation enthalpy at 0 K = 2.47 eV per formula unit; energy above the lowest structure with this stoichiometry = 903.2 meV/atom; crystal system = cubic; density of states at the Fermi level = 2.834 states/eV/f.u.
1.0
5.427 0.000 0.000
0.000 5.427 0.000
0.000 0.000 5.427
Be Co Mo
4 4 4
direct
0.000 0.000 0.000
0.000 0.500 0.500
0.500 0.000 0.500
0.500 0.500 0.000
0.000 0.000 0.500
0.000 0.500 0.000
0.500 0.000 0.000
0.500 0.500 0.500
0.250 0.250 0.250
0.250 0.750 0.750
0.750 0.250 0.750
0.750 0.750 0.250